# K4Ac3NiO8 | the Alexandria database | PBE with a Hubbard U | relaxed
data_K4Ac3NiO8
_space_group_name_H-M_alt 'C 1 2/m 1'
_space_group_IT_number 12
_space_group_name_Hall '-C 2y'
_cell_length_a 13.519
_cell_length_b 7.214
_cell_length_c 7.434
_cell_angle_alpha 90.00
_cell_angle_beta 119.99
_cell_angle_gamma 90.00
loop_
_atom_site_label
_atom_site_type_symbol
_atom_site_fract_x
_atom_site_fract_y
_atom_site_fract_z
K1 K 0.000 0.000 0.000
K2 K 0.000 0.500 0.000
K3 K 0.250 0.250 0.000
Ac1 Ac 0.000 0.000 0.500
Ac2 Ac 0.250 0.250 0.500
Ni1 Ni 0.000 0.500 0.500
O1 O 0.027 0.298 0.343
O2 O 0.213 0.000 0.251
O3 O 0.214 0.000 0.696
# size of the total moment: 3.0 μB per formula unit
# E: -0.210 hartree per atom